1.
Cs2PaBrF6 | the Alexandria database | PBE-GGA | relaxed; formation energy without anion corrections = -3186 meV per atom; SG = P-3m1, No. 164; total moment = 0.16 μB/f.u.; crystal system = trigonal
1.0
-1.6958 -6.8266 -0.7925
1.6271 0.3226 -6.2612
4.4470 -1.6181 4.4226
Cs Pa Br F
2 1 1 6
Cartesian
3.0478 -2.8202 0.6467 Cs
1.3306 -5.3019 -3.2777 Cs
0.0000 0.0000 0.0000 Pa
-0.8479 -3.4133 -0.3962 Br
0.3164 -6.3874 -0.2469 F
2.5056 -7.1840 1.9303 F
3.3066 -7.0251 -1.1520 F
1.8728 -0.9382 -4.5613 F
1.0717 -1.0970 -1.4790 F
4.0620 -1.7347 -2.3841 F

---

2.
CsPbBr2F | the Alexandria database | PBE-GGA | relaxed; distance to the lowest polymorph of the same formula = 0.0 meV/atom; formation energy without anion corrections = -1702 meV per atom; SG = P4/mmm, No. 123; total moment = 0.00 μB/f.u.; crystal system = tetragonal
1.0
6.1283 0.0000 0.0000
0.0000 6.1283 0.0000
0.0000 0.0000 4.7929
Pb Cs Br F
1 1 2 1
Cartesian
0.0000 0.0000 0.0000 Pb
3.0641 3.0641 2.3964 Cs
0.0000 3.0641 0.0000 Br
3.0641 0.0000 0.0000 Br
0.0000 0.0000 2.3964 F

---

3.
CsPbBr2F | the Alexandria database | PBE-GGA | relaxed; distance to the lowest polymorph of the same formula = 1624.4 meV/atom; formation energy without anion corrections = -78 meV per atom; SG = P4/mmm, No. 123; total moment = 0.81 μB/f.u.; crystal system = tetragonal
1.0
-4.0237 0.1829 4.7438
5.6338 -3.7935 4.9249
2.2524 5.5476 1.6966
Pb Cs Br F
1 1 2 1
Cartesian
2.8169 -1.8968 2.4624 Pb
0.0000 0.0000 0.0000 Cs
1.1262 2.7738 0.8483 Br
-2.0119 0.0915 2.3719 Br
1.9313 0.9685 5.6826 F

---

4.
CsPbBrF2 | the Alexandria database | PBE-GGA | relaxed; formation energy without anion corrections = -2066 meV per atom; SG = P4/mmm, No. 123; total moment = 0.00 μB/f.u.; crystal system = tetragonal
1.0
4.9569 0.0000 0.0000
0.0000 4.9569 0.0000
0.0000 0.0000 6.1427
Pb Cs Br F
1 1 1 2
Cartesian
0.0000 0.0000 0.0000 Pb
2.4785 2.4785 3.0714 Cs
0.0000 0.0000 3.0714 Br
0.0000 2.4785 0.0000 F
2.4785 0.0000 0.0000 F

---

> total moment of number 1 (Cs2PaBrF6)?

0.16 μB/f.u.